Record 1
Density functional theory data (GGA-PBE) for a relaxed structure of CaPm5Sm4.

Cell lengths 3.663, 3.663, 25.955 Å; angles 90.00, 90.00, 90.00 degrees
Fractional positions:
Sm (0.000, 0.000, 0.203)
Sm (0.000, 0.000, 0.401)
Sm (0.000, 0.000, 0.599)
Sm (0.000, 0.000, 0.797)
Ca (0.000, 0.000, 0.000)
Pm (0.500, 0.500, 0.108)
Pm (0.500, 0.500, 0.892)
Pm (0.500, 0.500, 0.303)
Pm (0.500, 0.500, 0.697)
Pm (0.500, 0.500, 0.500)

space group	No. 123
DFT formation energy	0.0256	eV/atom


Record 2
Density functional theory data (GGA-PBE) for a relaxed structure of NaInHg2Pb2.

Cell lengths 4.877, 7.532, 9.241 Å; angles 90.00, 90.00, 90.00 degrees
Fractional positions:
Pb (0.500, 0.047, 0.070)
Pb (0.000, 0.849, 0.807)
Pb (0.500, 0.547, 0.930)
Pb (0.000, 0.349, 0.193)
Hg (0.000, 0.282, 0.857)
Hg (0.500, 0.249, 0.399)
Hg (0.500, 0.749, 0.601)
Hg (0.000, 0.782, 0.143)
Na (0.000, 0.475, 0.559)
Na (0.000, 0.975, 0.441)
In (0.500, 0.145, 0.704)
In (0.500, 0.645, 0.296)

space group	No. 26
DFT formation energy	-0.0717	eV/atom


Record 3
Density functional theory data (GGA-PBE) for a relaxed structure of Ce3CrSe6.

Cell lengths 8.256, 8.256, 8.256 Å; angles 98.92, 98.92, 98.92 degrees
Each line ends with the local moment (μB).
Fractional positions:
Se (0.566, 0.189, 0.430)  -0.04
Se (0.430, 0.566, 0.189)  -0.04
Se (0.968, 0.308, 0.061)  -0.06
Se (0.308, 0.061, 0.968)  -0.06
Se (0.061, 0.968, 0.308)  -0.06
Se (0.189, 0.430, 0.566)  -0.04
Se (0.434, 0.811, 0.570)  -0.04
Se (0.811, 0.570, 0.434)  -0.04
Se (0.692, 0.939, 0.032)  -0.06
Se (0.570, 0.434, 0.811)  -0.04
Se (0.032, 0.692, 0.939)  -0.06
Se (0.939, 0.032, 0.692)  -0.06
Ce (0.291, 0.120, 0.626)  0.83
Ce (0.120, 0.626, 0.291)  0.83
Ce (0.374, 0.709, 0.880)  0.83
Ce (0.626, 0.291, 0.120)  0.83
Ce (0.880, 0.374, 0.709)  0.83
Ce (0.709, 0.880, 0.374)  0.83
Cr (0.000, 0.000, 0.000)  3.05
Cr (0.500, 0.500, 0.500)  3.58

formation energy without anion corrections	-1.451	eV per atom
space group	No. 148


| no. | raw total energy (eV per cell) |
| --- | --- |
| 1 | -44.38 |
| 2 | -25.02 |
| 3 | -125.69 |